A plane-wave DFT calculation with PBE was carried out for an optimized crystal structure of CaOs2W.

The space group is R-3m (No. 166, hexagonal axes) and the conventional cell measures 2.8761, 2.8761 and 28.2190 Å, with angles of 90.00, 90.00 and 120.00 degrees. The inequivalent atoms are Ca at (0.0000, 0.0000, 0.0000), Os at (0.0000, 0.0000, 0.2426) and W at (0.0000, 0.0000, 0.5000).

Its energy above the most stable polymorph in this dataset is 241.7 meV/atom. Its crystal system is trigonal. The value obtained for the density of states at the Fermi level is 0.764 states/eV per atom.